# 1
Density functional theory data (SCAN) for a crystal of CoBSb3 relaxed with PBEsol.

Cell lengths 4.657, 4.657, 4.657 Å; angles 90.00, 90.00, 90.00 degrees
Fractional positions:
Co (0.000, 0.000, 0.000)
B (0.500, 0.500, 0.500)
Sb (0.000, 0.500, 0.500)
Sb (0.500, 0.000, 0.500)
Sb (0.500, 0.500, 0.000)

Summary:
Total magnetization   1.682 μB/f.u.
Space group   Pm-3m, No. 221
D(E_F)   0.9216 states/eV per atom
Uncorrected energy   -26.1012 eV per atom



# 2
Density functional theory data (SCAN) for a crystal of Co22B6Sb relaxed with PBEsol.

Cell lengths 7.323, 7.323, 7.323 Å; angles 60.00, 60.00, 60.00 degrees
Fractional positions:
Co (0.000, 0.000, 0.345)
Co (0.000, 0.000, 0.655)
Co (0.000, 0.345, 0.000)
Co (0.000, 0.345, 0.655)
Co (0.000, 0.655, 0.000)
Co (0.000, 0.655, 0.345)
Co (0.140, 0.620, 0.620)
Co (0.250, 0.250, 0.250)
Co (0.345, 0.000, 0.000)
Co (0.345, 0.000, 0.655)
Co (0.345, 0.655, 0.000)
Co (0.380, 0.380, 0.380)
Co (0.380, 0.380, 0.860)
Co (0.380, 0.860, 0.380)
Co (0.620, 0.140, 0.620)
Co (0.620, 0.620, 0.140)
Co (0.620, 0.620, 0.620)
Co (0.655, 0.000, 0.000)
Co (0.655, 0.000, 0.345)
Co (0.655, 0.345, 0.000)
Co (0.750, 0.750, 0.750)
Co (0.860, 0.380, 0.380)
B (0.281, 0.281, 0.719)
B (0.281, 0.719, 0.281)
B (0.281, 0.719, 0.719)
B (0.719, 0.281, 0.281)
B (0.719, 0.281, 0.719)
B (0.719, 0.719, 0.281)
Sb (0.000, 0.000, 0.000)

Summary:
Total magnetization   31.685 μB/f.u.
Space group   Fm-3m, No. 225
D(E_F)   0.6377 states/eV per atom
Uncorrected energy   -15.9828 eV per atom